CaTb5Y8 PBE-GGA optimized geometry; magnetization = 0.000 μB per atom; crystal system = tetragonal; formation enthalpy at 0 K = 280 meV per atom; D(E_F) = 1.68 states/eV/atom; V = 470 Å³/cell; E_tot = -72.94 eV/cell
1.0
-4.814 4.814 5.073
4.814 -4.814 5.073
4.814 4.814 -5.073
Ca Tb Y
1 5 8
Cartesian
0.000 0.000 0.000
1.999 -1.078 4.270
3.736 2.816 0.803
2.816 5.892 -0.803
0.000 4.814 2.536
1.078 1.999 5.876
3.174 -0.674 0.963
3.925 3.102 -2.517
6.454 0.674 0.963
5.488 -1.640 4.110
0.889 1.712 2.556
4.140 1.640 4.110
1.712 -0.889 7.590
3.102 5.703 2.517

---

CaTb4Y2 PBE-GGA optimized geometry; magnetization = 0.000 μB per atom; crystal system = trigonal; formation enthalpy at 0 K = 45 meV per atom; D(E_F) = 1.50 states/eV/atom; V = 232 Å³/cell; E_tot = -33.14 eV/cell
1.0
1.793 1.035 20.819
-1.793 1.035 20.819
0.000 -2.071 20.819
Ca Tb Y
1 4 2
Cartesian
0.000 0.000 0.000
0.000 0.000 8.968
0.000 0.000 17.609
0.000 0.000 44.847
0.000 0.000 53.488
0.000 0.000 26.869
0.000 0.000 35.587

---

CaTb5Y12 PBE-GGA optimized geometry; magnetization = 0.000 μB per atom; crystal system = monoclinic; formation enthalpy at 0 K = 40 meV per atom; D(E_F) = 1.50 states/eV/atom; V = 587 Å³/cell; E_tot = -102.00 eV/cell
1.0
10.759 0.000 0.000
0.000 5.065 0.000
-0.010 0.000 10.772
Ca Tb Y
1 5 12
Cartesian
0.000 0.000 0.000
1.856 2.532 8.906
3.580 0.000 7.181
5.374 2.532 5.386
7.169 0.000 3.591
8.893 2.532 1.867
0.002 0.000 7.146
1.787 2.532 5.391
1.845 2.532 1.849
3.593 0.000 3.601
3.613 0.000 10.764
5.383 2.532 1.794
5.366 2.532 8.978
7.136 0.000 0.008
7.156 0.000 7.171
8.904 2.532 8.923
8.962 2.532 5.381
10.747 0.000 3.627